First-principles (PBE+U) data for an optimized crystal structure of Ba2MoO2F4, as listed in the Alexandria database.

Computed properties:
raw total energy: -6.06 eV/atom

Cell and atoms, written as CIF:
```
data_Ba2MoO2F4
_cell_length_a 10.484
_cell_length_b 5.947
_cell_length_c 4.572
_cell_angle_alpha 90.00
_cell_angle_beta 93.00
_cell_angle_gamma 90.00
_symmetry_space_group_name_H-M 'C 1 2/m 1'
_symmetry_Int_Tables_number 12
loop_
_symmetry_equiv_pos_as_xyz
'x,y,z'
'-x,-y,-z'
'-x,y,-z'
'x,-y,z'
'x+1/2,y+1/2,z'
'-x+1/2,-y+1/2,-z'
'-x+1/2,y+1/2,-z'
'x+1/2,-y+1/2,z'
loop_
_atom_site_label
_atom_site_fract_x
_atom_site_fract_y
_atom_site_fract_z
Ba1 0.175 0.000 0.276
Mo1 0.000 0.500 0.000
O1 0.167 0.500 0.218
F1 0.075 0.235 0.761
```